(1)
HoCd | SCAN | single point on PBEsol structure

Structure (CIF):
```
data_HoCd
_chemical_formula_sum 'Ho1 Cd1'
_symmetry_space_group_name_H-M 'P m -3 m'
_symmetry_Int_Tables_number 221
_symmetry_space_group_name_Hall '-P 4 2 3'
_cell_length_a 3.658
_cell_length_b 3.658
_cell_length_c 3.658
_cell_angle_alpha 90.00
_cell_angle_beta 90.00
_cell_angle_gamma 90.00
loop_
_atom_site_label
_atom_site_type_symbol
_atom_site_fract_x
_atom_site_fract_y
_atom_site_fract_z
_atom_site_occupancy
Ho1 Ho 0.000 0.000 0.000 1
Cd1 Cd 0.500 0.500 0.500 1
```

## Properties
Energy of formation from the pure elements   -0.430 eV/atom
Total magnetic moment   0.0 μB/f.u.

(2)
HoMgCd2 | SCAN | single point on PBEsol structure

Structure (CIF):
```
data_HoMgCd2
_chemical_formula_sum 'Ho4 Mg4 Cd8'
_symmetry_space_group_name_H-M 'F m -3 m'
_symmetry_Int_Tables_number 225
_symmetry_space_group_name_Hall '-F 4 2 3'
_cell_length_a 7.065
_cell_length_b 7.065
_cell_length_c 7.065
_cell_angle_alpha 90.00
_cell_angle_beta 90.00
_cell_angle_gamma 90.00
loop_
_atom_site_label
_atom_site_type_symbol
_atom_site_fract_x
_atom_site_fract_y
_atom_site_fract_z
_atom_site_occupancy
Ho1 Ho 0.000 0.000 0.000 1
Mg1 Mg 0.000 0.000 0.500 1
Cd1 Cd 0.250 0.250 0.250 1
```

## Properties
Energy of formation from the pure elements   -0.413 eV/atom
Total magnetic moment   0.0 μB/f.u.

(3)
HoCdNi4 | SCAN | single point on PBEsol structure

Structure (CIF):
```
data_HoCdNi4
_chemical_formula_sum 'Ho4 Cd4 Ni16'
_symmetry_space_group_name_H-M 'F -4 3 m'
_symmetry_Int_Tables_number 216
_symmetry_space_group_name_Hall 'F -4 2 3'
_cell_length_a 6.897
_cell_length_b 6.897
_cell_length_c 6.897
_cell_angle_alpha 90.00
_cell_angle_beta 90.00
_cell_angle_gamma 90.00
loop_
_atom_site_label
_atom_site_type_symbol
_atom_site_fract_x
_atom_site_fract_y
_atom_site_fract_z
_atom_site_occupancy
Ho1 Ho 0.000 0.000 0.000 1
Cd1 Cd 0.250 0.250 0.750 1
Ni1 Ni 0.124 0.124 0.376 1
```

## Properties
Energy of formation from the pure elements   -0.352 eV/atom
Total magnetic moment   0.0 μB/f.u.

(4)
Ho2CdPd2 | SCAN | single point on PBEsol structure

Structure (CIF):
```
data_Ho2CdPd2
_chemical_formula_sum 'Ho4 Cd2 Pd4'
_symmetry_space_group_name_H-M 'P 4/m b m'
_symmetry_Int_Tables_number 127
_symmetry_space_group_name_Hall '-P 4 2ab'
_cell_length_a 7.550
_cell_length_b 7.550
_cell_length_c 3.644
_cell_angle_alpha 90.00
_cell_angle_beta 90.00
_cell_angle_gamma 90.00
loop_
_atom_site_label
_atom_site_type_symbol
_atom_site_fract_x
_atom_site_fract_y
_atom_site_fract_z
_atom_site_occupancy
Ho1 Ho 0.171 0.329 0.000 1
Cd1 Cd 0.000 0.000 0.500 1
Pd1 Pd 0.129 0.629 0.500 1
```

## Properties
Energy of formation from the pure elements   -0.894 eV/atom
Total magnetic moment   0.0 μB/f.u.

(5)
Ho4CdPd | SCAN | single point on PBEsol structure

Structure (CIF):
```
data_Ho4CdPd
_chemical_formula_sum 'Ho64 Cd16 Pd16'
_symmetry_space_group_name_H-M 'F -4 3 m'
_symmetry_Int_Tables_number 216
_symmetry_space_group_name_Hall 'F -4 2 3'
_cell_length_a 13.374
_cell_length_b 13.374
_cell_length_c 13.374
_cell_angle_alpha 90.00
_cell_angle_beta 90.00
_cell_angle_gamma 90.00
loop_
_atom_site_label
_atom_site_type_symbol
_atom_site_fract_x
_atom_site_fract_y
_atom_site_fract_z
_atom_site_occupancy
Ho1 Ho 0.000 0.000 0.185 1
Ho2 Ho 0.060 0.250 0.750 1
Ho3 Ho 0.104 0.104 0.396 1
Cd1 Cd 0.168 0.168 0.168 1
Pd1 Pd 0.105 0.105 0.605 1
```

## Properties
Energy of formation from the pure elements   -0.555 eV/atom
Total magnetic moment   0.0 μB/f.u.

(6)
HoCdPd2 | SCAN | single point on PBEsol structure

Structure (CIF):
```
data_HoCdPd2
_chemical_formula_sum 'Ho4 Cd4 Pd8'
_symmetry_space_group_name_H-M 'F m -3 m'
_symmetry_Int_Tables_number 225
_symmetry_space_group_name_Hall '-F 4 2 3'
_cell_length_a 6.631
_cell_length_b 6.631
_cell_length_c 6.631
_cell_angle_alpha 90.00
_cell_angle_beta 90.00
_cell_angle_gamma 90.00
loop_
_atom_site_label
_atom_site_type_symbol
_atom_site_fract_x
_atom_site_fract_y
_atom_site_fract_z
_atom_site_occupancy
Ho1 Ho 0.000 0.000 0.000 1
Cd1 Cd 0.000 0.000 0.500 1
Pd1 Pd 0.250 0.250 0.250 1
```

## Properties
Energy of formation from the pure elements   -0.794 eV/atom
Total magnetic moment   0.0 μB/f.u.

(7)
Ho4CdPt | SCAN | single point on PBEsol structure

Structure (CIF):
```
data_Ho4CdPt
_chemical_formula_sum 'Ho64 Cd16 Pt16'
_symmetry_space_group_name_H-M 'F -4 3 m'
_symmetry_Int_Tables_number 216
_symmetry_space_group_name_Hall 'F -4 2 3'
_cell_length_a 13.378
_cell_length_b 13.378
_cell_length_c 13.378
_cell_angle_alpha 90.00
_cell_angle_beta 90.00
_cell_angle_gamma 90.00
loop_
_atom_site_label
_atom_site_type_symbol
_atom_site_fract_x
_atom_site_fract_y
_atom_site_fract_z
_atom_site_occupancy
Ho1 Ho 0.000 0.000 0.186 1
Ho2 Ho 0.060 0.250 0.250 1
Ho3 Ho 0.103 0.103 0.603 1
Cd1 Cd 0.168 0.168 0.832 1
Pt1 Pt 0.106 0.106 0.394 1
```

## Properties
Energy of formation from the pure elements   -0.772 eV/atom
Total magnetic moment   0.0 μB/f.u.

(8)
Ho4CdRh | SCAN | single point on PBEsol structure

Structure (CIF):
```
data_Ho4CdRh
_chemical_formula_sum 'Ho64 Cd16 Rh16'
_symmetry_space_group_name_H-M 'F -4 3 m'
_symmetry_Int_Tables_number 216
_symmetry_space_group_name_Hall 'F -4 2 3'
_cell_length_a 13.277
_cell_length_b 13.277
_cell_length_c 13.277
_cell_angle_alpha 90.00
_cell_angle_beta 90.00
_cell_angle_gamma 90.00
loop_
_atom_site_label
_atom_site_type_symbol
_atom_site_fract_x
_atom_site_fract_y
_atom_site_fract_z
_atom_site_occupancy
Ho1 Ho 0.000 0.000 0.187 1
Ho2 Ho 0.060 0.250 0.250 1
Ho3 Ho 0.100 0.100 0.600 1
Cd1 Cd 0.169 0.169 0.831 1
Rh1 Rh 0.107 0.107 0.393 1
```

## Properties
Energy of formation from the pure elements   -0.607 eV/atom
Total magnetic moment   0.0 μB/f.u.

(9)
NbCdInI2 | SCAN | single point on PBEsol structure

Structure (CIF):
```
data_NbCdInI2
_chemical_formula_sum 'Nb1 Cd1 In1 I2'
_symmetry_space_group_name_H-M 'P 4/m m m'
_symmetry_Int_Tables_number 123
_symmetry_space_group_name_Hall '-P 4 2'
_cell_length_a 5.753
_cell_length_b 5.753
_cell_length_c 5.317
_cell_angle_alpha 90.00
_cell_angle_beta 90.00
_cell_angle_gamma 90.00
loop_
_atom_site_label
_atom_site_type_symbol
_atom_site_fract_x
_atom_site_fract_y
_atom_site_fract_z
_atom_site_occupancy
Nb1 Nb 0.000 0.000 0.000 1
Cd1 Cd 0.500 0.500 0.500 1
In1 In 0.500 0.500 0.000 1
I1 I 0.000 0.500 0.500 1
```

## Properties
Total magnetic moment   4.5 μB/f.u.
Formation energy from raw total energies   4.52 eV/f.u.

(10)
CdInI2O | SCAN | single point on PBEsol structure

Structure (CIF):
```
data_CdInI2O
_chemical_formula_sum 'Cd1 In1 I2 O1'
_symmetry_space_group_name_H-M 'P 4/m m m'
_symmetry_Int_Tables_number 123
_symmetry_space_group_name_Hall '-P 4 2'
_cell_length_a 5.928
_cell_length_b 5.928
_cell_length_c 3.933
_cell_angle_alpha 90.00
_cell_angle_beta 90.00
_cell_angle_gamma 90.00
loop_
_atom_site_label
_atom_site_type_symbol
_atom_site_fract_x
_atom_site_fract_y
_atom_site_fract_z
_atom_site_occupancy
Cd1 Cd 0.000 0.000 0.000 1
In1 In 0.500 0.500 0.500 1
I1 I 0.000 0.500 0.500 1
O1 O 0.500 0.500 0.000 1
```

## Properties
Total magnetic moment   0.0 μB/f.u.
Formation energy from raw total energies   -2.06 eV/f.u.

(11)
CdInSb2I | SCAN | single point on PBEsol structure

Structure (CIF):
```
data_CdInSb2I
_chemical_formula_sum 'Cd1 In1 Sb2 I1'
_symmetry_space_group_name_H-M 'P 4/m m m'
_symmetry_Int_Tables_number 123
_symmetry_space_group_name_Hall '-P 4 2'
_cell_length_a 5.417
_cell_length_b 5.417
_cell_length_c 6.024
_cell_angle_alpha 90.00
_cell_angle_beta 90.00
_cell_angle_gamma 90.00
loop_
_atom_site_label
_atom_site_type_symbol
_atom_site_fract_x
_atom_site_fract_y
_atom_site_fract_z
_atom_site_occupancy
Cd1 Cd 0.000 0.000 0.000 1
In1 In 0.500 0.500 0.500 1
Sb1 Sb 0.000 0.500 0.000 1
I1 I 0.000 0.000 0.500 1
```

## Properties
Total magnetic moment   1.2 μB/f.u.
Formation energy from raw total energies   2.27 eV/f.u.

(12)
KCdI2O | SCAN | single point on PBEsol structure

Structure (CIF):
```
data_KCdI2O
_chemical_formula_sum 'K1 Cd1 I2 O1'
_symmetry_space_group_name_H-M 'P 4/m m m'
_symmetry_Int_Tables_number 123
_symmetry_space_group_name_Hall '-P 4 2'
_cell_length_a 6.219
_cell_length_b 6.219
_cell_length_c 4.558
_cell_angle_alpha 90.00
_cell_angle_beta 90.00
_cell_angle_gamma 90.00
loop_
_atom_site_label
_atom_site_type_symbol
_atom_site_fract_x
_atom_site_fract_y
_atom_site_fract_z
_atom_site_occupancy
K1 K 0.000 0.000 0.000 1
Cd1 Cd 0.500 0.500 0.500 1
I1 I 0.000 0.500 0.000 1
O1 O 0.000 0.000 0.500 1
```

## Properties
Total magnetic moment   1.4 μB/f.u.
Formation energy from raw total energies   0.43 eV/f.u.

> Among the records above, which one has the highest total magnetic moment?

NbCdInI2

> Which value of total magnetic moment does entry 12 give?

1.4 μB/f.u.

> Look up the total magnetic moment of the seventh one.

0.0 μB/f.u.